*P*
# CsBe3Rh

Crystalline CsBe3Rh at its relaxed geometry (PBE, the Alexandria database).

a = 4.598 Å, b = 4.598 Å, c = 4.598 Å
α = 90.00°, β = 90.00°, γ = 90.00°
Sites, in units of the cell vectors:
1 Cs 0.000 0.000 0.000
2 Be 0.000 0.500 0.500
3 Be 0.500 0.000 0.500
4 Be 0.500 0.500 0.000
5 Rh 0.500 0.500 0.500

---

*Q*
# CsBe3Rh

Crystalline CsBe3Rh at its relaxed geometry (PBE, the Alexandria database).

a = 4.769 Å, b = 4.769 Å, c = 4.769 Å
α = 90.00°, β = 90.00°, γ = 90.00°
Sites, in units of the cell vectors:
1 Cs 0.000 0.000 0.000
2 Be 0.000 0.000 0.500
3 Be 0.000 0.500 0.000
4 Be 0.500 0.000 0.000
5 Rh 0.500 0.500 0.500

---

Energies relative to the minimum, eV/atom: *P* 0.000; *Q* 2.329